# 1
Computed, not measured: a crystal of BaSbPb relaxed with PBEsol at the SCAN level of DFT.

Properties
**SG**: Cmc2_1, No. 36
**Mass density**: 7.481 g/cm³
**Energy above the most stable polymorph in this dataset**: 0 meV per atom
**Energy relative to the elements, uncorrected**: -221.2 kJ/mol of formula units

Cell lengths 4.8718, 12.3036, 6.9072 Å; angles 90.00, 90.00, 90.00 degrees
With the nearest neighbours (Å) after each atom.
Fractional coordinates of all 12 atoms:
Ba 0.0000 0.1828 0.0000  5 Sb 3.49-3.65, 4 Pb 3.74
Ba 0.0000 0.8172 0.5000  5 Sb 3.49-3.65, 4 Pb 3.74
Ba 0.5000 0.3172 0.5000  5 Sb 3.49-3.65, 4 Pb 3.74
Ba 0.5000 0.6828 0.0000  5 Sb 3.49-3.65, 4 Pb 3.74
Sb 0.0000 0.1137 0.4998  4 Pb 3.29-3.30, 5 Ba 3.49-3.65
Sb 0.0000 0.8863 0.9998  4 Pb 3.29-3.30, 5 Ba 3.49-3.65
Sb 0.5000 0.3863 0.9998  4 Pb 3.29-3.30, 5 Ba 3.49-3.65
Sb 0.5000 0.6137 0.4998  4 Pb 3.29-3.30, 5 Ba 3.49-3.65
Pb 0.0000 0.5003 0.2515  4 Sb 3.29-3.30, 2 Pb 3.45
Pb 0.0000 0.4997 0.7515  4 Sb 3.29-3.30, 2 Pb 3.45
Pb 0.5000 0.0003 0.2515  4 Sb 3.29-3.30, 2 Pb 3.45
Pb 0.5000 0.9997 0.7515  4 Sb 3.29-3.30, 2 Pb 3.45


# 2
Computed, not measured: a crystal of BaSbPb relaxed with PBEsol at the SCAN level of DFT.

Properties
**SG**: F-43m, No. 216
**Mass density**: 6.545 g/cm³
**Energy above the most stable polymorph in this dataset**: 582 meV per atom
**Energy relative to the elements, uncorrected**: -52.8 kJ/mol of formula units

Cell lengths 7.7925, 7.7925, 7.7925 Å; angles 90.00, 90.00, 90.00 degrees
With the nearest neighbours (Å) after each atom.
Fractional coordinates of all 12 atoms:
Ba 0.0000 0.0000 0.0000  4 Pb 3.37, 4 Sb 3.37
Ba 0.0000 0.5000 0.5000  4 Pb 3.37, 4 Sb 3.37
Ba 0.5000 0.0000 0.5000  4 Pb 3.37, 4 Sb 3.37
Ba 0.5000 0.5000 0.0000  4 Pb 3.37, 4 Sb 3.37
Sb 0.2500 0.2500 0.2500  4 Ba 3.37
Sb 0.2500 0.7500 0.7500  4 Ba 3.37
Sb 0.7500 0.2500 0.7500  4 Ba 3.37
Sb 0.7500 0.7500 0.2500  4 Ba 3.37
Pb 0.2500 0.2500 0.7500  4 Ba 3.37
Pb 0.2500 0.7500 0.2500  4 Ba 3.37
Pb 0.7500 0.2500 0.2500  4 Ba 3.37
Pb 0.7500 0.7500 0.7500  4 Ba 3.37